Entry 1:
A geometry-optimized YIrPdW2 structure, computed with PBE.

The structure in CIF format:
```
data_YIrPdW2
_space_group_name_H-M_alt 'P 4/m m m'
_space_group_IT_number 123
_space_group_name_Hall '-P 4 2'
_cell_length_a 4.735
_cell_length_b 4.735
_cell_length_c 5.297
_cell_angle_alpha 90.00
_cell_angle_beta 90.00
_cell_angle_gamma 90.00
loop_
_atom_site_label
_atom_site_fract_x
_atom_site_fract_y
_atom_site_fract_z
_atom_site_occupancy
Y1 0.000 0.000 0.000 1
Ir1 0.000 0.000 0.500 1
Pd1 0.500 0.500 0.000 1
W1 0.000 0.500 0.500 1
```

Entry 2:
A geometry-optimized Y5Ir2Pd structure, computed with PBE.

The structure in CIF format:
```
data_Y5Ir2Pd
_space_group_name_H-M_alt 'I 4/m c m'
_space_group_IT_number 140
_space_group_name_Hall '-I 4 2c'
_cell_length_a 7.596
_cell_length_b 7.596
_cell_length_c 13.578
_cell_angle_alpha 90.00
_cell_angle_beta 90.00
_cell_angle_gamma 90.00
loop_
_atom_site_label
_atom_site_fract_x
_atom_site_fract_y
_atom_site_fract_z
_atom_site_occupancy
Y1 0.000 0.000 0.000 1
Y2 0.165 0.335 0.139 1
Ir1 0.136 0.364 0.500 1
Pd1 0.000 0.000 0.250 1
```

Entry 3:
# Y2IrPd | Alexandria via LeMat-Bulk | PBE | relaxed
data_Y2IrPd
_space_group_name_H-M_alt 'F m -3 m'
_space_group_IT_number 225
_space_group_name_Hall '-F 4 2 3'
_cell_length_a 6.943
_cell_length_b 6.943
_cell_length_c 6.943
_cell_angle_alpha 90.00
_cell_angle_beta 90.00
_cell_angle_gamma 90.00
loop_
_atom_site_label
_atom_site_fract_x
_atom_site_fract_y
_atom_site_fract_z
_atom_site_occupancy
Y1 0.250 0.250 0.250 1
Ir1 0.000 0.000 0.000 1
Pd1 0.000 0.000 0.500 1
# E above lowest polymorph	0.0	meV/atom

Number 1: E -40.60 eV for the cell shown. Number 2: E -244.50 eV for the cell shown. Number 3: E -122.01 eV for the cell shown.